(1)
DFT (GGA-PBE) results for crystalline ZnCoRe2 at its relaxed geometry.

Cell: 3.105 4.162 4.266 Å, 90.00 90.00 90.00°
Each line ends with the local moment (μB).
Element x y z (fractional)
Re 0.500 0.500 0.000  0.21
Re 0.000 0.000 0.000  -0.14
Zn 0.500 0.000 0.500  -0.02
Co 0.000 0.500 0.500  0.87

Values from the calculation:
- Crystal system: orthorhombic
- Space group: Pmmm (47)
- DFT formation energy: 266 meV per atom

(2)
DFT (GGA-PBE) results for crystalline ZnCoRe2 at its relaxed geometry.

Cell: 3.942 2.668 5.839 Å, 62.44 90.00 90.00°
Each line ends with the local moment (μB).
Element x y z (fractional)
Re 0.000 0.003 0.993  0.01
Re 0.000 0.497 0.507  0.01
Co 0.500 0.750 0.750  0.70
Zn 0.500 0.250 0.250  0.00

Values from the calculation:
- Crystal system: monoclinic
- Space group: P2/m (10)
- DFT formation energy: 244 meV per atom

Q: The highest DFT formation energy belongs to which entry?
A: number 1